12
Lattice="6.980 -3.782 0.000 6.980 3.782 0.000 -0.498 0.000 5.373" Properties=species:S:1:pos:R:3 comment="PBE+U Ba3VCl2F6, relaxed" energy_ev_per_atom=-5.39 m_tot_mub_per_fu=3.00 pbc="T T T"
Ba 0.000 0.000 0.000
Ba 3.241 1.891 2.687
Ba 3.241 -1.891 2.687
V 6.731 0.000 2.687
Cl 2.465 0.000 4.958
Cl 10.997 0.000 0.415
F 5.747 1.801 3.701
F 7.715 1.801 1.673
F 4.797 0.000 1.873
F 8.664 0.000 3.500
F 5.747 -1.801 3.701
F 7.715 -1.801 1.673